Below is an optimized crystal structure of Mo2RhBr, with properties calculated at the GGA-PBE level.

Energy relative to the lowest polymorph listed for this composition: 366 meV/atom
Size of the total moment: 0.00 μB/f.u.
E: -7.033 eV/atom

Structure (CIF):
```
data_Mo2RhBr
_chemical_formula_sum 'Mo4 Rh2 Br2'
_space_group_name_H-M_alt 'I m m m'
_space_group_IT_number 71
_space_group_name_Hall '-I 2 2'
_cell_length_a 3.0411
_cell_length_b 4.4729
_cell_length_c 9.4199
_cell_angle_alpha 90.00
_cell_angle_beta 90.00
_cell_angle_gamma 90.00
loop_
_atom_site_label
_atom_site_fract_x
_atom_site_fract_y
_atom_site_fract_z
_atom_site_occupancy
Mo1 0.0000 0.0000 0.2312 1
Rh1 0.0000 0.5000 0.0000 1
Br1 0.0000 0.5000 0.5000 1
```